Below is crystalline Hg2WO5 at its relaxed geometry, with properties calculated at the PBE with a Hubbard U level.

```
data_Hg2WO5
_symmetry_space_group_name_H-M 'P n m a'
_symmetry_Int_Tables_number 62
_symmetry_space_group_name_Hall '-P 2ac 2n'
_cell_length_a 7.388
_cell_length_b 3.786
_cell_length_c 17.600
_cell_angle_alpha 90.00
_cell_angle_beta 90.00
_cell_angle_gamma 90.00
loop_
_atom_site_label
_atom_site_type_symbol
_atom_site_fract_x
_atom_site_fract_y
_atom_site_fract_z
Hg1 Hg 0.104 0.250 0.244
Hg2 Hg 0.147 0.250 0.602
W1 W 0.148 0.250 0.940
O1 O 0.040 0.750 0.132
O2 O 0.096 0.750 0.964
O3 O 0.139 0.750 0.695
O4 O 0.174 0.750 0.370
O5 O 0.196 0.750 0.527
```

Summary:
- Size of the total moment: 0.000 μB/cell
- Calculated total energy: -5.16 eV per atom